FeOs2Se: optimized geometry, PBE.

abc: 2.785 4.689 9.208
angles: 90.00 90.00 90.00
Space group Cmmm (No. 65)
Symmetry-distinct sites (fractional):
Fe 0.000 0.000 0.000 x2
Os 0.000 0.500 0.229 x4
Se 0.000 0.000 0.500 x2

Summary:
E_form (uncorrected)	0.7324	eV per atom
total magnetization	3.133	μB per formula unit